[1]
# Tc3Ge (PBE-GGA, relaxed)
data_Tc3Ge
_space_group_name_H-M_alt 'I m m m'
_space_group_IT_number 71
_space_group_name_Hall '-I 2 2'
_cell_length_a 3.048
_cell_length_b 4.337
_cell_length_c 8.715
_cell_angle_alpha 90.00
_cell_angle_beta 90.00
_cell_angle_gamma 90.00
loop_
_atom_site_label
_atom_site_fract_x
_atom_site_fract_y
_atom_site_fract_z
Tc1 0.000 0.000 0.000
Tc2 0.000 0.500 0.237
Ge1 0.000 0.000 0.500
# - crystal system = orthorhombic
# - uncorrected energy (eV per atom) = -8.97
# - mass density (Mg/m³) = 10.6
# - total magnetic moment (μB/cell) = 0.0
# - E_form (eV/atom) = -0.04

[2]
# Fe2WSe (PBE-GGA, relaxed)
data_Fe2WSe
_space_group_name_H-M_alt 'P 4 m m'
_space_group_IT_number 99
_cell_length_a 3.078
_cell_length_b 3.078
_cell_length_c 5.869
_cell_angle_alpha 90.00
_cell_angle_beta 90.00
_cell_angle_gamma 90.00
loop_
_space_group_symop_operation_xyz
'x,y,z'
'-y,x,z'
'-x,-y,z'
'y,-x,z'
'-x,y,z'
'y,x,z'
'x,-y,z'
'-y,-x,z'
loop_
_atom_site_label
_atom_site_fract_x
_atom_site_fract_y
_atom_site_fract_z
Fe1 0.000 0.000 0.000
Fe2 0.500 0.500 0.209
W1 0.500 0.500 0.735
Se1 0.000 0.000 0.468
# - crystal system = tetragonal
# - uncorrected energy (eV per atom) = -8.09
# - mass density (Mg/m³) = 11.2
# - total magnetic moment (μB/cell) = 4.5
# - uncorrected formation energy (meV per atom) = 253

[3]
# Sr2LaPr (PBE-GGA, relaxed)
data_Sr2LaPr
_space_group_name_H-M_alt 'P 4/m m m'
_space_group_IT_number 123
_space_group_name_Hall '-P 4 2'
_cell_length_a 5.386
_cell_length_b 5.386
_cell_length_c 5.957
_cell_angle_alpha 90.00
_cell_angle_beta 90.00
_cell_angle_gamma 90.00
loop_
_atom_site_label
_atom_site_fract_x
_atom_site_fract_y
_atom_site_fract_z
Sr1 0.000 0.500 0.000
La1 0.000 0.000 0.500
Pr1 0.500 0.500 0.500
# - crystal system = tetragonal
# - uncorrected energy (eV per atom) = -3.08
# - mass density (Mg/m³) = 4.4
# - total magnetic moment (μB/cell) = 0.0
# - E_form (eV/atom) = 0.19